[1]
First-principles (PBE) data for an optimized crystal structure of Np2BiF, as listed in Alexandria via LeMat-Bulk.

Computed properties:
Space group   R-3m (166)
Energy relative to the elements, uncorrected   -673 meV/atom
Fermi-level density of states   3.24 states/eV per atom

Unit cell a=5.678 b=5.678 c=11.368 alpha=90.00 beta=90.00 gamma=120.00
Fractional positions:
1 Np 0.000 0.000 0.199
2 Np 0.000 0.000 0.801
3 Np 0.333 0.667 0.468
4 Np 0.333 0.667 0.865
5 Np 0.667 0.333 0.135
6 Np 0.667 0.333 0.532
7 Bi 0.000 0.000 0.500
8 Bi 0.333 0.667 0.167
9 Bi 0.667 0.333 0.833
10 F 0.000 0.000 0.000
11 F 0.333 0.667 0.667
12 F 0.667 0.333 0.333

[2]
First-principles (PBE) data for an optimized crystal structure of NpBi3O6F2, as listed in Alexandria via LeMat-Bulk.

Computed properties:
Space group   C2/m (12)
Energy relative to the elements, uncorrected   -1848 meV/atom
Fermi-level density of states   0.26 states/eV per atom

Unit cell a=6.996 b=6.996 c=5.174 alpha=95.32 beta=95.32 gamma=54.79
Fractional positions:
1 Np 0.000 0.000 0.000
2 Bi 0.000 0.500 0.000
3 Bi 0.500 0.000 0.000
4 Bi 0.500 0.500 0.500
5 O 0.143 0.143 0.225
6 O 0.165 0.690 0.211
7 O 0.310 0.835 0.789
8 O 0.690 0.165 0.211
9 O 0.835 0.310 0.789
10 O 0.857 0.857 0.775
11 F 0.337 0.337 0.685
12 F 0.663 0.663 0.315

[3]
First-principles (PBE) data for an optimized crystal structure of Bi2OF4, as listed in Alexandria via LeMat-Bulk.

Computed properties:
Space group   C2/c (15)
Energy relative to the elements, uncorrected   -2197 meV/atom
Polymorph energy (0 for the lowest one)   0 meV/atom
Fermi-level density of states   0.00 states/eV per atom

Unit cell a=7.111 b=7.111 c=5.814 alpha=101.50 beta=101.50 gamma=47.17
Fractional positions:
1 Bi 0.109 0.679 0.916
2 Bi 0.321 0.891 0.584
3 Bi 0.679 0.109 0.416
4 Bi 0.891 0.321 0.084
5 O 0.038 0.962 0.250
6 O 0.962 0.038 0.750
7 F 0.156 0.273 0.831
8 F 0.273 0.156 0.331
9 F 0.301 0.543 0.556
10 F 0.457 0.699 0.944
11 F 0.543 0.301 0.056
12 F 0.699 0.457 0.444
13 F 0.727 0.844 0.669
14 F 0.844 0.727 0.169

[4]
First-principles (PBE) data for an optimized crystal structure of BiO2F2, as listed in Alexandria via LeMat-Bulk.

Computed properties:
Space group   Cmc2_1 (36)
Energy relative to the elements, uncorrected   -1262 meV/atom
Polymorph energy (0 for the lowest one)   0 meV/atom
Fermi-level density of states   0.14 states/eV per atom

Unit cell a=5.413 b=5.413 c=10.334 alpha=90.00 beta=90.00 gamma=142.22
Fractional positions:
1 Bi 0.074 0.926 0.500
2 Bi 0.926 0.074 0.000
3 O 0.293 0.707 0.559
4 O 0.375 0.625 0.459
5 O 0.625 0.375 0.959
6 O 0.707 0.293 0.059
7 F 0.359 0.641 0.874
8 F 0.416 0.584 0.144
9 F 0.584 0.416 0.644
10 F 0.641 0.359 0.374

[5]
First-principles (PBE) data for an optimized crystal structure of BiOF, as listed in Alexandria via LeMat-Bulk.

Computed properties:
Space group   P2_1/c (14)
Energy relative to the elements, uncorrected   -1838 meV/atom
Fermi-level density of states   0.00 states/eV per atom

Unit cell a=5.845 b=5.864 c=6.085 alpha=90.00 beta=95.99 gamma=90.00
Fractional positions:
1 Bi 0.241 0.043 0.193
2 Bi 0.241 0.457 0.693
3 Bi 0.759 0.543 0.307
4 Bi 0.759 0.957 0.807
5 O 0.072 0.178 0.877
6 O 0.072 0.322 0.377
7 O 0.928 0.678 0.623
8 O 0.928 0.822 0.123
9 F 0.442 0.741 0.474
10 F 0.442 0.759 0.974
11 F 0.558 0.241 0.026
12 F 0.558 0.259 0.526

[6]
First-principles (PBE) data for an optimized crystal structure of BiOF, as listed in Alexandria via LeMat-Bulk.

Computed properties:
Space group   Fddd (70)
Energy relative to the elements, uncorrected   -1756 meV/atom
Fermi-level density of states   0.00 states/eV per atom

Unit cell a=7.258 b=6.874 c=6.034 alpha=68.07 beta=61.47 gamma=50.46
Fractional positions:
1 Bi 0.077 0.673 0.077
2 Bi 0.327 0.923 0.327
3 Bi 0.673 0.077 0.673
4 Bi 0.923 0.327 0.923
5 O 0.007 0.007 0.743
6 O 0.257 0.257 0.993
7 O 0.743 0.743 0.007
8 O 0.993 0.993 0.257
9 F 0.000 0.500 0.500
10 F 0.500 0.000 0.500
11 F 0.500 0.500 0.000
12 F 0.500 0.500 0.500

[7]
First-principles (PBE) data for an optimized crystal structure of BiO2F2, as listed in Alexandria via LeMat-Bulk.

Computed properties:
Space group   P4/mmm (123)
Energy relative to the elements, uncorrected   -215 meV/atom
Polymorph energy (0 for the lowest one)   1047 meV/atom
Fermi-level density of states   0.30 states/eV per atom

Unit cell a=4.015 b=4.015 c=3.700 alpha=90.00 beta=90.00 gamma=90.00
Fractional positions:
1 Bi 0.000 0.000 0.000
2 O 0.500 0.500 0.000
3 O 0.500 0.500 0.500
4 F 0.000 0.500 0.500
5 F 0.500 0.000 0.500

[8]
First-principles (PBE) data for an optimized crystal structure of BiOF, as listed in Alexandria via LeMat-Bulk.

Computed properties:
Space group   P2_1/m (11)
Energy relative to the elements, uncorrected   -1764 meV/atom
Fermi-level density of states   0.00 states/eV per atom

Unit cell a=8.344 b=3.958 c=12.443 alpha=90.00 beta=109.43 gamma=90.00
Fractional positions:
1 Bi 0.052 0.250 0.374
2 Bi 0.167 0.750 0.160
3 Bi 0.332 0.250 0.903
4 Bi 0.414 0.750 0.621
5 Bi 0.586 0.250 0.379
6 Bi 0.668 0.750 0.097
7 Bi 0.833 0.250 0.840
8 Bi 0.948 0.750 0.626
9 O 0.006 0.250 0.742
10 O 0.152 0.750 0.511
11 O 0.235 0.250 0.258
12 O 0.384 0.750 0.001
13 O 0.616 0.250 0.999
14 O 0.765 0.750 0.742
15 O 0.848 0.250 0.489
16 O 0.994 0.750 0.258
17 F 0.117 0.250 0.989
18 F 0.263 0.750 0.747
19 F 0.400 0.250 0.511
20 F 0.489 0.250 0.743
21 F 0.511 0.750 0.257
22 F 0.600 0.750 0.489
23 F 0.737 0.250 0.253
24 F 0.883 0.750 0.011

[9]
First-principles (PBE) data for an optimized crystal structure of BiO6F2, as listed in Alexandria via LeMat-Bulk.

Computed properties:
Space group   P-1 (2)
Energy relative to the elements, uncorrected   -420 meV/atom
Fermi-level density of states   0.02 states/eV per atom

Unit cell a=3.626 b=6.879 c=7.006 alpha=62.40 beta=80.07 gamma=88.25
Fractional positions:
1 Bi 0.000 0.000 0.000
2 O 0.018 0.716 0.993
3 O 0.235 0.260 0.319
4 O 0.262 0.439 0.309
5 O 0.738 0.561 0.691
6 O 0.765 0.740 0.681
7 O 0.982 0.284 0.007
8 F 0.427 0.890 0.226
9 F 0.573 0.110 0.774

[10]
First-principles (PBE) data for an optimized crystal structure of BiOF, as listed in Alexandria via LeMat-Bulk.

Computed properties:
Space group   Pnma (62)
Energy relative to the elements, uncorrected   -1804 meV/atom
Fermi-level density of states   0.00 states/eV per atom

Unit cell a=6.548 b=3.648 c=7.766 alpha=90.00 beta=90.00 gamma=90.00
Fractional positions:
1 Bi 0.204 0.250 0.095
2 Bi 0.296 0.750 0.595
3 Bi 0.704 0.250 0.405
4 Bi 0.796 0.750 0.905
5 O 0.002 0.250 0.863
6 O 0.498 0.750 0.363
7 O 0.502 0.250 0.637
8 O 0.998 0.750 0.137
9 F 0.146 0.250 0.412
10 F 0.354 0.750 0.912
11 F 0.646 0.250 0.088
12 F 0.854 0.750 0.588

[11]
First-principles (PBE) data for an optimized crystal structure of BiO2F3, as listed in Alexandria via LeMat-Bulk.

Computed properties:
Space group   P-1 (2)
Energy relative to the elements, uncorrected   -1509 meV/atom

Unit cell a=5.403 b=5.494 c=8.108 alpha=90.06 beta=106.25 gamma=96.01
Fractional positions:
1 Bi 0.249 0.279 0.059
2 Bi 0.751 0.721 0.941
3 O 0.267 0.229 0.471
4 O 0.347 0.039 0.536
5 O 0.653 0.961 0.464
6 O 0.733 0.771 0.529
7 F 0.009 0.566 0.155
8 F 0.122 0.945 0.887
9 F 0.499 0.334 0.883
10 F 0.501 0.666 0.117
11 F 0.878 0.055 0.113
12 F 0.991 0.434 0.845

[12]
First-principles (PBE) data for an optimized crystal structure of BiO2F4, as listed in Alexandria via LeMat-Bulk.

Computed properties:
Space group   C2/m (12)
Energy relative to the elements, uncorrected   -733 meV/atom
Fermi-level density of states   0.02 states/eV per atom

Unit cell a=5.661 b=5.697 c=6.253 alpha=90.00 beta=92.02 gamma=90.00
Fractional positions:
1 Bi 0.000 0.000 0.000
2 Bi 0.500 0.500 0.000
3 O 0.183 0.500 0.507
4 O 0.317 0.000 0.493
5 O 0.683 0.000 0.507
6 O 0.817 0.500 0.493
7 F 0.240 0.251 0.794
8 F 0.240 0.749 0.794
9 F 0.260 0.249 0.206
10 F 0.260 0.751 0.206
11 F 0.740 0.249 0.794
12 F 0.740 0.751 0.794
13 F 0.760 0.251 0.206
14 F 0.760 0.749 0.206

[13]
First-principles (PBE) data for an optimized crystal structure of Bi4O5F2, as listed in Alexandria via LeMat-Bulk.

Computed properties:
Space group   P2_1 (4)
Energy relative to the elements, uncorrected   -1533 meV/atom
Polymorph energy (0 for the lowest one)   0 meV/atom
Fermi-level density of states   0.00 states/eV per atom

Unit cell a=11.676 b=5.561 c=13.286 alpha=90.00 beta=95.00 gamma=90.00
Fractional positions:
1 Bi 0.073 0.000 0.434
2 Bi 0.095 0.023 0.719
3 Bi 0.237 0.528 0.206
4 Bi 0.262 0.501 0.612
5 Bi 0.273 0.509 0.907
6 Bi 0.383 0.050 0.357
7 Bi 0.406 0.002 0.048
8 Bi 0.414 0.990 0.757
9 Bi 0.586 0.490 0.243
10 Bi 0.594 0.502 0.952
11 Bi 0.617 0.550 0.643
12 Bi 0.727 0.009 0.093
13 Bi 0.738 0.001 0.388
14 Bi 0.763 0.028 0.794
15 Bi 0.905 0.523 0.281
16 Bi 0.927 0.500 0.566
17 O 0.069 0.743 0.592
18 O 0.085 0.236 0.580
19 O 0.247 0.277 0.744
20 O 0.248 0.789 0.734
21 O 0.312 0.632 0.070
22 O 0.335 0.202 0.212
23 O 0.374 0.690 0.298
24 O 0.418 0.784 0.902
25 O 0.426 0.287 0.913
26 O 0.444 0.624 0.671
27 O 0.556 0.124 0.329
28 O 0.574 0.787 0.087
29 O 0.582 0.284 0.098
30 O 0.626 0.190 0.702
31 O 0.665 0.702 0.788
32 O 0.688 0.132 0.930
33 O 0.752 0.289 0.266
34 O 0.753 0.777 0.256
35 O 0.915 0.736 0.420
36 O 0.931 0.243 0.408
37 F 0.061 0.859 0.265
38 F 0.178 0.333 0.372
39 F 0.215 0.138 0.969
40 F 0.357 0.140 0.572
41 F 0.643 0.640 0.428
42 F 0.785 0.638 0.031
43 F 0.822 0.833 0.628
44 F 0.939 0.359 0.735

[14]
First-principles (PBE) data for an optimized crystal structure of BiOF, as listed in Alexandria via LeMat-Bulk.

Computed properties:
Space group   R-3m (166)
Energy relative to the elements, uncorrected   -1810 meV/atom
Fermi-level density of states   0.00 states/eV per atom

Unit cell a=7.980 b=7.980 c=7.980 alpha=28.89 beta=28.89 gamma=28.89
Fractional positions:
1 Bi 0.102 0.102 0.102
2 Bi 0.898 0.898 0.898
3 O 0.200 0.200 0.200
4 O 0.800 0.800 0.800
5 F 0.393 0.393 0.393
6 F 0.607 0.607 0.607

[15]
First-principles (PBE) data for an optimized crystal structure of Bi6O5F8, as listed in Alexandria via LeMat-Bulk.

Computed properties:
Space group   P2_1/c (14)
Energy relative to the elements, uncorrected   -1965 meV/atom
Polymorph energy (0 for the lowest one)   0 meV/atom
Fermi-level density of states   0.00 states/eV per atom

Unit cell a=5.876 b=5.754 c=34.409 alpha=90.00 beta=90.16 gamma=90.00
Fractional positions:
1 Bi 0.205 0.202 0.335
2 Bi 0.205 0.298 0.835
3 Bi 0.205 0.727 0.918
4 Bi 0.205 0.773 0.418
5 Bi 0.208 0.718 0.583
6 Bi 0.208 0.782 0.083
7 Bi 0.215 0.230 0.165
8 Bi 0.215 0.270 0.665
9 Bi 0.218 0.248 0.499
10 Bi 0.218 0.252 0.999
11 Bi 0.226 0.710 0.749
12 Bi 0.226 0.790 0.249
13 Bi 0.774 0.210 0.751
14 Bi 0.774 0.290 0.251
15 Bi 0.782 0.748 0.001
16 Bi 0.782 0.752 0.501
17 Bi 0.785 0.730 0.335
18 Bi 0.785 0.770 0.835
19 Bi 0.792 0.218 0.917
20 Bi 0.792 0.282 0.417
21 Bi 0.795 0.227 0.582
22 Bi 0.795 0.273 0.082
23 Bi 0.795 0.702 0.165
24 Bi 0.795 0.798 0.665
25 O 0.007 0.515 0.458
26 O 0.007 0.985 0.958
27 O 0.011 0.517 0.042
28 O 0.011 0.983 0.542
29 O 0.014 0.012 0.872
30 O 0.014 0.488 0.372
31 O 0.022 0.512 0.211
32 O 0.022 0.988 0.711
33 O 0.024 0.011 0.626
34 O 0.024 0.489 0.126
35 O 0.976 0.511 0.874
36 O 0.976 0.989 0.374
37 O 0.978 0.012 0.289
38 O 0.978 0.488 0.789
39 O 0.986 0.512 0.628
40 O 0.986 0.988 0.128
41 O 0.989 0.017 0.458
42 O 0.989 0.483 0.958
43 O 0.993 0.015 0.042
44 O 0.993 0.485 0.542
45 F 0.039 0.509 0.291
46 F 0.039 0.991 0.791
47 F 0.369 0.654 0.684
48 F 0.369 0.846 0.184
49 F 0.383 0.164 0.247
50 F 0.383 0.336 0.747
51 F 0.384 0.658 0.821
52 F 0.384 0.842 0.321
53 F 0.411 0.143 0.109
54 F 0.411 0.357 0.609
55 F 0.412 0.126 0.391
56 F 0.412 0.374 0.891
57 F 0.456 0.571 0.965
58 F 0.456 0.929 0.465
59 F 0.476 0.565 0.537
60 F 0.476 0.935 0.037
61 F 0.524 0.065 0.963
62 F 0.524 0.435 0.463
63 F 0.544 0.071 0.535
64 F 0.544 0.429 0.035
65 F 0.588 0.626 0.109
66 F 0.588 0.874 0.609
67 F 0.589 0.643 0.391
68 F 0.589 0.857 0.891
69 F 0.616 0.158 0.679
70 F 0.616 0.342 0.179
71 F 0.617 0.664 0.253
72 F 0.617 0.836 0.753
73 F 0.631 0.154 0.816
74 F 0.631 0.346 0.316
75 F 0.961 0.009 0.209
76 F 0.961 0.491 0.709

[16]
First-principles (PBE) data for an optimized crystal structure of Bi2OF4, as listed in Alexandria via LeMat-Bulk.

Computed properties:
Space group   R-3m (166)
Energy relative to the elements, uncorrected   -2115 meV/atom
Polymorph energy (0 for the lowest one)   82 meV/atom
Fermi-level density of states   0.00 states/eV per atom

Unit cell a=8.154 b=8.154 c=8.154 alpha=29.71 beta=29.71 gamma=29.71
Fractional positions:
1 Bi 0.088 0.088 0.088
2 Bi 0.912 0.912 0.912
3 O 0.000 0.000 0.000
4 F 0.213 0.213 0.213
5 F 0.411 0.411 0.411
6 F 0.589 0.589 0.589
7 F 0.787 0.787 0.787

[17]
First-principles (PBE) data for an optimized crystal structure of BiOF, as listed in Alexandria via LeMat-Bulk.

Computed properties:
Space group   Pnma (62)
Energy relative to the elements, uncorrected   -1821 meV/atom
Fermi-level density of states   0.00 states/eV per atom

Unit cell a=6.381 b=3.794 c=7.377 alpha=90.00 beta=90.00 gamma=90.00
Fractional positions:
1 Bi 0.219 0.250 0.087
2 Bi 0.281 0.750 0.587
3 Bi 0.719 0.250 0.413
4 Bi 0.781 0.750 0.913
5 O 0.137 0.750 0.932
6 O 0.363 0.250 0.432
7 O 0.637 0.750 0.568
8 O 0.863 0.250 0.068
9 F 0.047 0.750 0.338
10 F 0.453 0.250 0.838
11 F 0.547 0.750 0.162
12 F 0.953 0.250 0.662